[1]
# Ca3Pd

An optimized crystal structure of Ca3Pd (PBEsol, Alexandria via LeMat-Bulk).

The structure belongs to space group Pnma (No. 62); the cell edges are 7.661, 9.573 and 6.518 Å and the angles 90.00°, 90.00° and 90.00°. The asymmetric unit holds Ca at (0.040, 0.250, 0.140), Ca at (0.171, 0.065, 0.662) and Pd at (0.122, 0.750, 0.451).

The volume comes out at 478 Å³/cell. The formation energy from the elements comes out at -159 kJ/mol of formula units. The calculation puts the calculated total energy at -3.501 eV per atom. The density of states at the Fermi level is 2.44 states/eV/f.u.



[2]
# CaPd5

An optimized crystal structure of CaPd5 (PBEsol, Alexandria via LeMat-Bulk).

The structure belongs to space group P6/mmm (No. 191); the cell edges are 5.2454, 5.2454 and 4.3758 Å and the angles 90.00°, 90.00° and 120.00°. The asymmetric unit holds Ca at (0.0000, 0.0000, 0.0000), Pd at (0.0000, 0.5000, 0.5000) and Pd at (0.3333, 0.6667, 0.0000).

The volume comes out at 104 Å³/cell. The formation energy from the elements comes out at -198 kJ/mol of formula units. The calculation puts the calculated total energy at -5.664 eV per atom. The density of states at the Fermi level is 5.18 states/eV/f.u.



[3]
# CaPd2

An optimized crystal structure of CaPd2 (PBEsol, Alexandria via LeMat-Bulk).

The structure belongs to space group Fd-3m (No. 227, origin choice 2); the cell edges are 7.594, 7.594 and 7.594 Å and the angles 90.00°, 90.00° and 90.00°. The asymmetric unit holds Ca at (0.125, 0.125, 0.125) and Pd at (0.000, 0.000, 0.500).

The volume comes out at 438 Å³/cell. The formation energy from the elements comes out at -198 kJ/mol of formula units. The calculation puts the calculated total energy at -5.369 eV per atom. The density of states at the Fermi level is 1.81 states/eV/f.u.



[4]
# CaPmPd2

An optimized crystal structure of CaPmPd2 (PBEsol, Alexandria via LeMat-Bulk).

The structure belongs to space group Fm-3m (No. 225); the cell edges are 6.996, 6.996 and 6.996 Å and the angles 90.00°, 90.00° and 90.00°. The asymmetric unit holds Ca at (0.000, 0.000, 0.000), Pm at (0.000, 0.000, 0.500) and Pd at (0.250, 0.250, 0.250).

The volume comes out at 342 Å³/cell. The formation energy from the elements comes out at -269 kJ/mol of formula units. The calculation puts the calculated total energy at -5.494 eV per atom. The density of states at the Fermi level is 2.03 states/eV/f.u.



[5]
# CaPd2Pt

An optimized crystal structure of CaPd2Pt (PBEsol, Alexandria via LeMat-Bulk).

The structure belongs to space group Fm-3m (No. 225); the cell edges are 6.449, 6.449 and 6.449 Å and the angles 90.00°, 90.00° and 90.00°. The asymmetric unit holds Ca at (0.000, 0.000, 0.000), Pd at (0.250, 0.250, 0.250) and Pt at (0.000, 0.000, 0.500).

The volume comes out at 268 Å³/cell. The formation energy from the elements comes out at -153 kJ/mol of formula units. The calculation puts the calculated total energy at -5.650 eV per atom. The density of states at the Fermi level is 1.33 states/eV/f.u.



[6]
# CaPdPt

An optimized crystal structure of CaPdPt (PBEsol, Alexandria via LeMat-Bulk).

The structure belongs to space group Imma (No. 74); the cell edges are 5.362, 5.366 and 7.599 Å and the angles 90.00°, 90.00° and 90.00°. The asymmetric unit holds Ca at (0.000, 0.250, 0.124), Pd at (0.000, 0.000, 0.500) and Pt at (0.250, 0.250, 0.750).

The volume comes out at 219 Å³/cell. The formation energy from the elements comes out at -234 kJ/mol of formula units. The calculation puts the calculated total energy at -5.827 eV per atom. The density of states at the Fermi level is 1.84 states/eV/f.u.



[7]
# Ca2PdPt

An optimized crystal structure of Ca2PdPt (PBEsol, Alexandria via LeMat-Bulk).

The structure belongs to space group Fm-3m (No. 225); the cell edges are 6.879, 6.879 and 6.879 Å and the angles 90.00°, 90.00° and 90.00°. The asymmetric unit holds Ca at (0.250, 0.250, 0.250), Pd at (0.000, 0.000, 0.000) and Pt at (0.000, 0.000, 0.500).

The volume comes out at 325 Å³/cell. The formation energy from the elements comes out at -278 kJ/mol of formula units. The calculation puts the calculated total energy at -5.019 eV per atom. The density of states at the Fermi level is 0.89 states/eV/f.u.



[8]
# RbCa2Pd

An optimized crystal structure of RbCa2Pd (PBEsol, Alexandria via LeMat-Bulk).

The structure belongs to space group Fm-3m (No. 225); the cell edges are 7.756, 7.756 and 7.756 Å and the angles 90.00°, 90.00° and 90.00°. The asymmetric unit holds Rb at (0.000, 0.000, 0.000), Ca at (0.250, 0.250, 0.250) and Pd at (0.000, 0.000, 0.500).

The volume comes out at 467 Å³/cell. The formation energy from the elements comes out at 37 kJ/mol of formula units. The calculation puts the calculated total energy at -2.716 eV per atom. The density of states at the Fermi level is 2.61 states/eV/f.u.



[9]
# Rb2CaPd

An optimized crystal structure of Rb2CaPd (PBEsol, Alexandria via LeMat-Bulk).

The structure belongs to space group Fm-3m (No. 225); the cell edges are 8.393, 8.393 and 8.393 Å and the angles 90.00°, 90.00° and 90.00°. The asymmetric unit holds Rb at (0.250, 0.250, 0.250), Ca at (0.000, 0.000, 0.000) and Pd at (0.000, 0.000, 0.500).

The volume comes out at 591 Å³/cell. The formation energy from the elements comes out at 181 kJ/mol of formula units. The calculation puts the calculated total energy at -2.066 eV per atom. The density of states at the Fermi level is 1.25 states/eV/f.u.



[10]
# CaRePd3

An optimized crystal structure of CaRePd3 (PBEsol, Alexandria via LeMat-Bulk).

The structure belongs to space group Pm-3m (No. 221); the cell edges are 4.669, 4.669 and 4.669 Å and the angles 90.00°, 90.00° and 90.00°. The asymmetric unit holds Ca at (0.000, 0.000, 0.000), Re at (0.500, 0.500, 0.500) and Pd at (0.000, 0.000, 0.500).

The volume comes out at 102 Å³/cell. The formation energy from the elements comes out at 820 kJ/mol of formula units. The calculation puts the calculated total energy at -4.968 eV per atom. The density of states at the Fermi level is 3.46 states/eV/f.u.



[11]
# CaSnPd2Rh

An optimized crystal structure of CaSnPd2Rh (PBEsol, Alexandria via LeMat-Bulk).

The structure belongs to space group P4/mmm (No. 123); the cell edges are 4.760, 4.760 and 4.682 Å and the angles 90.00°, 90.00° and 90.00°. The asymmetric unit holds Ca at (0.000, 0.000, 0.000), Sn at (0.500, 0.500, 0.500), Pd at (0.000, 0.500, 0.000) and Rh at (0.000, 0.000, 0.500).

The volume comes out at 106 Å³/cell. The formation energy from the elements comes out at 407 kJ/mol of formula units. The calculation puts the calculated total energy at -4.446 eV per atom. The density of states at the Fermi level is 3.55 states/eV/f.u.



[12]
# Ca2Sb4Pd3

An optimized crystal structure of Ca2Sb4Pd3 (PBEsol, Alexandria via LeMat-Bulk).

The structure belongs to space group I4/mmm (No. 139); the cell edges are 4.449, 4.449 and 41.274 Å and the angles 90.00°, 90.00° and 90.00°. The asymmetric unit holds Ca at (0.000, 0.000, 0.055), Ca at (0.000, 0.000, 0.186), Sb at (0.000, 0.000, 0.285), Sb at (0.000, 0.000, 0.462), Sb at (0.000, 0.500, 0.117), Pd at (0.000, 0.000, 0.347), Pd at (0.000, 0.500, 0.000) and Pd at (0.000, 0.500, 0.250).

The volume comes out at 817 Å³/cell. The calculation puts the calculated total energy at -5.225 eV per atom. The density of states at the Fermi level is 3.99 states/eV/f.u.



volume of number 5 (CaPd2Pt)?
268 Å³/cell



Which formula does entry 2 have?
CaPd5



Among the records above, which one has the highest calculated total energy?
Rb2CaPd